Record 1
Here is a relaxed structure of Tb8Pm3Pr2 from the Alexandria database. Energies are from PBE-GGA.

Geometry as CIF:
```
data_Tb8Pm3Pr2
_symmetry_space_group_name_H-M 'C 1 2/m 1'
_symmetry_Int_Tables_number 12
_symmetry_space_group_name_Hall '-C 2y'
_cell_length_a 20.716
_cell_length_b 7.718
_cell_length_c 5.640
_cell_angle_alpha 90.00
_cell_angle_beta 90.02
_cell_angle_gamma 90.00
loop_
_atom_site_label
_atom_site_type_symbol
_atom_site_fract_x
_atom_site_fract_y
_atom_site_fract_z
Tb1 Tb 0.107 0.211 0.000
Tb2 Tb 0.130 0.500 0.500
Tb3 Tb 0.164 0.000 0.500
Pm1 Pm 0.000 0.208 0.500
Pm2 Pm 0.000 0.500 0.000
Pr1 Pr 0.241 0.500 0.999
```

Properties
magnetization: 0.0 μB/f.u.
E_form: 0.24 eV per atom
calculated density: 7.32 g cm⁻³

***

Record 2
Here is a relaxed structure of PrHoCuPd from the Alexandria database. Energies are from PBE-GGA.

Geometry as CIF:
```
data_PrHoCuPd
_symmetry_space_group_name_H-M 'A m m 2'
_symmetry_Int_Tables_number 38
_symmetry_space_group_name_Hall 'A 2 -2'
_cell_length_a 4.551
_cell_length_b 3.810
_cell_length_c 10.791
_cell_angle_alpha 90.00
_cell_angle_beta 90.00
_cell_angle_gamma 90.00
loop_
_atom_site_label
_atom_site_type_symbol
_atom_site_fract_x
_atom_site_fract_y
_atom_site_fract_z
Pr1 Pr 0.000 0.000 0.000
Ho1 Ho 0.500 0.000 0.277
Cu1 Cu 0.500 0.000 0.566
Pd1 Pd 0.000 0.000 0.720
```

Properties
magnetization: 0.0 μB/f.u.
E_form: -0.53 eV per atom
calculated density: 8.44 g cm⁻³

***

Record 3
Here is a relaxed structure of AcErBi from the Alexandria database. Energies are from PBE-GGA.

Geometry as CIF:
```
data_AcErBi
_symmetry_space_group_name_H-M 'I 4 m m'
_symmetry_Int_Tables_number 107
_symmetry_space_group_name_Hall 'I 4 -2'
_cell_length_a 4.143
_cell_length_b 4.143
_cell_length_c 12.180
_cell_angle_alpha 90.00
_cell_angle_beta 90.00
_cell_angle_gamma 90.00
loop_
_atom_site_label
_atom_site_type_symbol
_atom_site_fract_x
_atom_site_fract_y
_atom_site_fract_z
Ac1 Ac 0.000 0.000 0.000
Er1 Er 0.000 0.000 0.702
Bi1 Bi 0.000 0.000 0.315
```

Properties
magnetization: 1.0 μB/f.u.
E_form: -0.44 eV per atom
calculated density: 9.58 g cm⁻³